The following is a DFT calculation (PBE) of BiAs2Pb after structural relaxation.

```
BiAs2Pb
1.0
4.285 0.000 0.000
0.000 5.973 0.000
0.000 0.000 8.545
Bi As Pb
2 4 2
Direct
0.250 0.250 0.128 Bi
0.750 0.750 0.872 Bi
0.250 0.750 0.120 As
0.250 0.750 0.627 As
0.750 0.250 0.373 As
0.750 0.250 0.880 As
0.250 0.250 0.625 Pb
0.750 0.750 0.375 Pb
```

Values from the calculation:
- DFT total energy: -4.18 eV/atom
- SG: Pmmn (59)
- Total moment: 0.000 Bohr magnetons per cell
- Formation energy: 0.0412 eV/atom